(1)
The following is a PBE calculation of an optimized crystal structure of Sr2Al4AgPd, from OQMD via LeMat-Bulk.

Lattice parameters (Å, degrees): 7.4492 6.1098 6.1098 41.33 90.00 90.00
Fractional positions:
Ag: 0.0000 0.7236 0.7236
Al: 0.1971 0.1723 0.1723
Al: 0.8029 0.1723 0.1723
Al: 0.3168 0.8273 0.8273
Al: 0.6832 0.8273 0.8273
Pd: 0.5000 0.2787 0.2787
Sr: 0.0000 0.4484 0.4484
Sr: 0.5000 0.5501 0.5501

Calculated values
The value obtained for the final energy is -3.726 eV/atom. Its crystal system is orthorhombic.

(2)
The following is a PBE calculation of an optimized crystal structure of TbTm2Al3AgPd2, from OQMD via LeMat-Bulk.

Lattice parameters (Å, degrees): 3.8496 7.3669 7.3669 120.17 90.00 90.00
Fractional positions:
Ag: 0.5000 0.9979 0.9979
Al: 0.0000 0.9983 0.2555
Al: 0.0000 0.7454 0.7454
Al: 0.0000 0.2555 0.9983
Pd: 0.0000 0.6698 0.3318
Pd: 0.0000 0.3318 0.6698
Tb: 0.5000 0.4143 0.4143
Tm: 0.5000 0.5865 0.0005
Tm: 0.5000 0.0005 0.5865

Calculated values
The value obtained for the final energy is -4.930 eV/atom. The total magnetic moment comes out at 0.04 μB/f.u. Its crystal system is orthorhombic.

(3)
The following is a PBE calculation of an optimized crystal structure of TbY2Al3AgPd2, from OQMD via LeMat-Bulk.

Lattice parameters (Å, degrees): 3.8950 7.3933 7.3933 119.85 90.00 90.00
Fractional positions:
Ag: 0.5000 0.9993 0.9993
Al: 0.0000 0.7457 0.0010
Al: 0.0000 0.2533 0.2533
Al: 0.0000 0.0010 0.7457
Pd: 0.0000 0.6665 0.3348
Pd: 0.0000 0.3348 0.6665
Tb: 0.5000 0.5844 0.5844
Y: 0.5000 0.4149 0.0002
Y: 0.5000 0.0002 0.4149

Calculated values
The value obtained for the final energy is -5.369 eV/atom. The total magnetic moment comes out at 0.01 μB/f.u. Its crystal system is orthorhombic.

(4)
The following is a PBE calculation of an optimized crystal structure of YTm2Al3AgPd2, from OQMD via LeMat-Bulk.

Lattice parameters (Å, degrees): 3.8397 7.3756 7.3756 120.28 90.00 90.00
Fractional positions:
Ag: 0.0000 0.9974 0.9974
Al: 0.5000 0.9989 0.2559
Al: 0.5000 0.7441 0.7441
Al: 0.5000 0.2559 0.9989
Pd: 0.5000 0.6709 0.3318
Pd: 0.5000 0.3318 0.6709
Tm: 0.0000 0.5868 0.0007
Tm: 0.0000 0.0007 0.5868
Y: 0.0000 0.4136 0.4136

Calculated values
The value obtained for the final energy is -5.138 eV/atom. The total magnetic moment comes out at 0.01 μB/f.u. Its crystal system is orthorhombic.

(5)
The following is a PBE calculation of an optimized crystal structure of ZrAlAgPd, from OQMD via LeMat-Bulk.

Lattice parameters (Å, degrees): 4.6164 4.6164 4.6164 60.00 60.00 60.00
Fractional positions:
Ag: 0.0000 0.0000 0.0000
Al: 0.7500 0.7500 0.7500
Pd: 0.2500 0.2500 0.2500
Zr: 0.5000 0.5000 0.5000

Calculated values
The energy above the most stable polymorph in this dataset is 0.112 eV per atom. The total magnetic moment comes out at 0.00 μB/f.u. Its crystal system is cubic.

(6)
The following is a PBE calculation of an optimized crystal structure of ZrAlAgPd, from OQMD via LeMat-Bulk.

Lattice parameters (Å, degrees): 4.6229 4.6229 4.6229 60.00 60.00 60.00
Fractional positions:
Ag: 0.0000 0.0000 0.0000
Al: 0.7500 0.7500 0.7500
Pd: 0.5000 0.5000 0.5000
Zr: 0.2500 0.2500 0.2500

Calculated values
The energy above the most stable polymorph in this dataset is 0.000 eV per atom. The total magnetic moment comes out at 0.00 μB/f.u. Its crystal system is cubic.

(7)
The following is a PBE calculation of an optimized crystal structure of ZrAlAgPd, from OQMD via LeMat-Bulk.

Lattice parameters (Å, degrees): 4.6087 4.6087 4.6087 60.00 60.00 60.00
Fractional positions:
Ag: 0.2500 0.2500 0.2500
Al: 0.7500 0.7500 0.7500
Pd: 0.5000 0.5000 0.5000
Zr: 0.0000 0.0000 0.0000

Calculated values
The energy above the most stable polymorph in this dataset is 0.143 eV per atom. The total magnetic moment comes out at 0.00 μB/f.u. Its crystal system is cubic.

(8)
The following is a PBE calculation of an optimized crystal structure of Pm3Al7Ag2, from OQMD via LeMat-Bulk.

Lattice parameters (Å, degrees): 9.4457 9.4457 9.4457 34.69 34.69 34.69
Fractional positions:
Ag: 0.3360 0.3360 0.3360
Ag: 0.6640 0.6640 0.6640
Al: 0.5870 0.5870 0.0749
Al: 0.9251 0.4130 0.4130
Al: 0.4130 0.9251 0.4130
Al: 0.5000 0.5000 0.5000
Al: 0.5870 0.0749 0.5870
Al: 0.0749 0.5870 0.5870
Al: 0.4130 0.4130 0.9251
Pm: 0.0000 0.0000 0.0000
Pm: 0.1417 0.1417 0.1417
Pm: 0.8583 0.8583 0.8583

Calculated values
The value obtained for the final energy is -4.311 eV/atom. The total magnetic moment comes out at 0.00 μB/f.u. Its crystal system is trigonal.

(9)
The following is a PBE calculation of an optimized crystal structure of Pm2Al3Ag, from OQMD via LeMat-Bulk.

Lattice parameters (Å, degrees): 5.7327 5.7327 8.9661 90.00 90.00 120.00
Fractional positions:
Ag: 0.0000 0.0000 0.0000
Ag: 0.0000 0.0000 0.5000
Al: 0.1710 0.3420 0.2500
Al: 0.1710 0.8290 0.2500
Al: 0.6580 0.8290 0.2500
Al: 0.3420 0.1710 0.7500
Al: 0.8290 0.1710 0.7500
Al: 0.8290 0.6580 0.7500
Pm: 0.6667 0.3333 0.0750
Pm: 0.6667 0.3333 0.4250
Pm: 0.3333 0.6667 0.5750
Pm: 0.3333 0.6667 0.9250

Calculated values
The value obtained for the final energy is -4.385 eV/atom. The total magnetic moment comes out at 0.00 μB/f.u. Its crystal system is hexagonal.

(10)
The following is a PBE calculation of an optimized crystal structure of PrAl5Ag7, from OQMD via LeMat-Bulk.

Lattice parameters (Å, degrees): 7.1188 7.1188 7.1188 135.37 97.74 98.84
Fractional positions:
Ag: 0.3381 0.3381 0.0000
Ag: 0.6520 0.6520 0.0000
Ag: 0.7970 0.5060 0.2910
Ag: 0.3403 0.9943 0.3460
Ag: 0.7775 0.2775 0.5000
Ag: 0.6482 0.9943 0.6540
Ag: 0.2151 0.5060 0.7090
Al: 0.5056 0.0035 0.0058
Al: 0.9977 0.0035 0.4978
Al: 0.2252 0.7252 0.5000
Al: 0.5056 0.4999 0.5022
Al: 0.9977 0.4999 0.9942
Pr: 0.9999 0.9999 0.0000

Calculated values
The value obtained for the final energy is -3.553 eV/atom. The total magnetic moment comes out at 0.02 μB/f.u. Its crystal system is orthorhombic.

(11)
The following is a PBE calculation of an optimized crystal structure of PrAl4Ag8, from OQMD via LeMat-Bulk.

Lattice parameters (Å, degrees): 7.1545 7.1545 7.1545 98.09 98.09 135.92
Fractional positions:
Ag: 0.5000 0.7183 0.2183
Ag: 0.7183 0.5000 0.2183
Ag: 0.3453 0.0000 0.3453
Ag: 0.0000 0.3453 0.3453
Ag: 0.6547 0.0000 0.6547
Ag: 0.0000 0.6547 0.6547
Ag: 0.5000 0.2817 0.7817
Ag: 0.2817 0.5000 0.7817
Al: 0.5000 0.0000 0.0000
Al: 0.0000 0.5000 0.0000
Al: 0.0000 0.0000 0.5000
Al: 0.5000 0.5000 0.5000
Pr: 0.0000 0.0000 0.0000

Calculated values
The value obtained for the final energy is -3.481 eV/atom. The total magnetic moment comes out at 0.02 μB/f.u. Its crystal system is tetragonal.

(12)
The following is a PBE calculation of an optimized crystal structure of Pr3Al4Ag4, from OQMD via LeMat-Bulk.

Lattice parameters (Å, degrees): 8.5340 8.5340 8.5340 149.04 129.09 60.79
Last column: magnetic moment on the atom in μB.
Fractional positions:
Ag: 0.3668 0.1716 0.1953  0.01
Ag: 0.0237 0.8284 0.1953  0.01
Ag: 0.9763 0.1716 0.8047  0.01
Ag: 0.6332 0.8284 0.8047  0.01
Al: 0.3197 0.0000 0.3197  0.01
Al: 0.7828 0.2828 0.5000  0.01
Al: 0.2172 0.7172 0.5000  0.01
Al: 0.6803 0.0000 0.6803  0.01
Pr: 0.3728 0.3728 0.0000  0.02
Pr: 0.6272 0.6272 0.0000  0.02
Pr: 0.0000 0.5000 0.5000  0.05

Calculated values
The value obtained for the final energy is -4.018 eV/atom. The total magnetic moment comes out at 0.36 μB/f.u. Its crystal system is orthorhombic.

- Number 1 is which compound?
  Sr2Al4AgPd